! PBE+U KCr2CdF6, optimized geometry; values from VASP
! DFT total energy	-5.154	eV per atom
! spin magnetization	7.822	μB/cell
&SYSTEM
  ibrav = 0, nat = 10, ntyp = 4
/
ATOMIC_SPECIES
K 39.10 K.upf
Cr 52.00 Cr.upf
Cd 112.41 Cd.upf
F 19.00 F.upf
CELL_PARAMETERS angstrom
5.884 0.000 0.000
-2.765 5.261 0.000
-0.394 -3.277 4.943
ATOMIC_POSITIONS crystal
K 0.000 0.000 0.000
Cr 0.247 0.488 0.745
Cr 0.749 0.490 0.246
Cd 0.495 0.015 0.489
F 0.016 0.947 0.446
F 0.041 0.484 0.448
F 0.454 0.492 0.042
F 0.493 0.030 0.059
F 0.540 0.514 0.578
F 0.941 0.430 0.897